VASP calculation (PBE+U) on a relaxed structure of Li3Cr2P3O12.

Cell: 10.160 10.160 10.160 Å, 109.47 109.47 109.47°
Fractional positions:
Li 0.125 0.250 0.375
Li 0.375 0.125 0.250
Li 0.875 0.625 0.250
Li 0.375 0.750 0.125
Li 0.750 0.625 0.875
Li 0.250 0.375 0.125
Li 0.750 0.125 0.375
Li 0.250 0.875 0.625
Li 0.625 0.250 0.875
Li 0.125 0.375 0.750
Li 0.625 0.875 0.750
Li 0.875 0.750 0.625
Cr 0.000 0.000 0.000
Cr 0.500 0.000 0.000
Cr 0.000 0.500 0.000
Cr 0.500 0.500 0.500
Cr 0.500 0.500 0.000
Cr 0.000 0.500 0.500
Cr 0.500 0.000 0.500
Cr 0.000 0.000 0.500
P 0.750 0.875 0.125
P 0.125 0.875 0.250
P 0.375 0.625 0.750
P 0.875 0.250 0.125
P 0.375 0.250 0.625
P 0.250 0.625 0.375
P 0.750 0.375 0.625
P 0.625 0.750 0.375
P 0.125 0.750 0.875
P 0.625 0.375 0.250
P 0.875 0.125 0.750
P 0.250 0.125 0.875
O 0.910 0.293 0.300
O 0.707 0.700 0.090
O 0.890 0.007 0.300
O 0.617 0.410 0.110
O 0.200 0.493 0.610
O 0.117 0.007 0.207
O 0.993 0.700 0.110
O 0.300 0.890 0.007
O 0.883 0.390 0.090
O 0.200 0.207 0.590
O 0.383 0.293 0.493
O 0.090 0.883 0.390
O 0.590 0.200 0.207
O 0.507 0.617 0.707
O 0.300 0.910 0.293
O 0.207 0.590 0.200
O 0.610 0.910 0.117
O 0.707 0.507 0.617
O 0.110 0.617 0.410
O 0.793 0.883 0.993
O 0.610 0.200 0.493
O 0.007 0.207 0.117
O 0.410 0.110 0.617
O 0.507 0.390 0.800
O 0.493 0.610 0.200
O 0.590 0.890 0.383
O 0.993 0.793 0.883
O 0.207 0.117 0.007
O 0.390 0.800 0.507
O 0.890 0.383 0.590
O 0.293 0.493 0.383
O 0.793 0.410 0.800
O 0.390 0.090 0.883
O 0.700 0.090 0.707
O 0.493 0.383 0.293
O 0.410 0.800 0.793
O 0.910 0.117 0.610
O 0.800 0.793 0.410
O 0.617 0.707 0.507
O 0.117 0.610 0.910
O 0.700 0.110 0.993
O 0.007 0.300 0.890
O 0.800 0.507 0.390
O 0.883 0.993 0.793
O 0.383 0.590 0.890
O 0.110 0.993 0.700
O 0.293 0.300 0.910
O 0.090 0.707 0.700

Space-group type: Ia-3d, No. 230
M_tot in Bohr magnetons per cell: 24.0
V in Å³/f.u.: 201.8
Total energy in eV per atom: -7.0407
Density of states at the Fermi level in states/eV per atom: 0.00
Theoretical density in kg/m3: 3371
Polymorph energy (0 for the lowest one) in meV/atom: 36